# PBE-GGA RbTe2IN, relaxed
data_RbTe2IN
_space_group_name_H-M_alt 'P 4/m m m'
_space_group_IT_number 123
_space_group_name_Hall '-P 4 2'
_cell_length_a 7.306
_cell_length_b 7.306
_cell_length_c 6.946
_cell_angle_alpha 90.00
_cell_angle_beta 90.00
_cell_angle_gamma 90.00
loop_
_atom_site_label
_atom_site_type_symbol
_atom_site_fract_x
_atom_site_fract_y
_atom_site_fract_z
_atom_site_occupancy
Rb1 Rb 0.000 0.000 0.000 1
Te1 Te 0.000 0.500 0.000 1
I1 I 0.000 0.000 0.500 1
N1 N 0.500 0.500 0.500 1
# Formation energy from raw total energies ... 1.414 eV/atom
# N(E_F) ... 5.62 states/eV/cell